Record 1
{"formula": "Fe2Cl", "functional": "PBE-GGA", "state": "optimized geometry", "polymorph_energy_mev_per_atom": 0.0, "space_group": "No. 227", "final_energy_ha_per_atom": -0.205, "cell": [[0.000, 3.646, 3.646], [3.646, 0.000, 3.646], [3.646, 3.646, 0.000]], "species": ["Fe", "Fe", "Fe", "Fe", "Cl", "Cl"], "frac_coords": [[0.625, 0.625, 0.125], [0.625, 0.625, 0.625], [0.125, 0.625, 0.625], [0.625, 0.125, 0.625], [0.000, 0.000, 0.000], [0.250, 0.250, 0.250]]}



Record 2
{"formula": "FeCl", "functional": "PBE-GGA", "state": "optimized geometry", "space_group": "No. 186", "final_energy_ha_per_atom": -0.180, "cell": [[1.882, -3.260, 0.000], [1.882, 3.260, 0.000], [0.000, 0.000, 6.172]], "species": ["Fe", "Fe", "Cl", "Cl"], "frac_coords": [[0.000, 0.000, 0.375], [0.333, 0.667, 0.875], [0.000, 0.000, 0.000], [0.333, 0.667, 0.500]]}



Record 3
{"formula": "GaFeCl6", "functional": "PBE-GGA", "state": "optimized geometry", "space_group": "No. 8", "final_energy_ha_per_atom": -0.136, "cell": [[6.006, -3.472, 0.000], [6.006, 3.472, 0.000], [-4.092, 0.000, 5.775]], "species": ["Cl", "Cl", "Cl", "Cl", "Cl", "Cl", "Fe", "Ga"], "frac_coords": [[0.307, 0.307, 0.438], [0.692, 0.692, 0.560], [0.741, 0.262, 0.003], [0.176, 0.176, 0.800], [0.262, 0.741, 0.003], [0.822, 0.822, 0.196], [0.343, 0.343, 0.772], [0.656, 0.656, 0.227]]}



Record 4
{"formula": "Rb2GaFeCl6", "functional": "PBE-GGA", "state": "optimized geometry", "space_group": "No. 225", "final_energy_ha_per_atom": -0.136, "cell": [[0.000, 5.055, 5.055], [5.055, 0.000, 5.055], [5.055, 5.055, 0.000]], "species": ["Cl", "Cl", "Cl", "Cl", "Cl", "Cl", "Fe", "Ga", "Rb", "Rb"], "frac_coords": [[0.259, 0.741, 0.741], [0.259, 0.259, 0.741], [0.741, 0.259, 0.259], [0.741, 0.259, 0.741], [0.259, 0.741, 0.259], [0.741, 0.741, 0.259], [0.500, 0.500, 0.500], [0.000, 0.000, 0.000], [0.250, 0.250, 0.250], [0.750, 0.750, 0.750]]}



Record 5
{"formula": "GdLuFe2Cl2", "functional": "PBE-GGA", "state": "optimized geometry", "space_group": "No. 156", "final_energy_ha_per_atom": -0.221, "cell": [[3.785, 0.000, 0.000], [-1.892, 3.278, 0.000], [0.000, 0.000, 10.998]], "species": ["Cl", "Cl", "Gd", "Fe", "Fe", "Lu"], "frac_coords": [[0.333, 0.667, 0.158], [0.667, 0.333, 0.834], [0.000, 0.000, 0.319], [0.667, 0.333, 0.495], [0.333, 0.667, 0.514], [0.000, 0.000, 0.680]]}



Record 6
{"formula": "GdTmFe2Cl2", "functional": "PBE-GGA", "state": "optimized geometry", "space_group": "No. 156", "final_energy_ha_per_atom": -0.221, "cell": [[-1.938, 2.840, -1.610], [-0.757, -1.027, 3.576], [7.509, 7.196, 3.655]], "species": ["Tm", "Gd", "Cl", "Cl", "Fe", "Fe"], "frac_coords": [[0.000, 0.000, 0.319], [0.000, 0.000, 0.681], [0.333, 0.667, 0.165], [0.667, 0.333, 0.842], [0.333, 0.667, 0.506], [0.667, 0.333, 0.487]]}



Record 7
{"formula": "GdYFe2Cl2", "functional": "PBE-GGA", "state": "optimized geometry", "space_group": "No. 156", "final_energy_ha_per_atom": -0.233, "cell": [[3.812, 0.000, 0.000], [-1.906, 3.301, 0.000], [0.000, 0.000, 11.129]], "species": ["Fe", "Fe", "Gd", "Y", "Cl", "Cl"], "frac_coords": [[0.667, 0.333, 0.492], [0.333, 0.667, 0.509], [0.000, 0.000, 0.318], [0.000, 0.000, 0.682], [0.333, 0.667, 0.161], [0.667, 0.333, 0.837]]}



Record 8
{"formula": "Rb2FeGeCl6", "functional": "PBE-GGA", "state": "optimized geometry", "space_group": "No. 225", "final_energy_ha_per_atom": -0.141, "cell": [[4.607, -5.562, -0.268], [-1.909, -6.408, 2.741], [-1.314, -5.571, -4.412]], "species": ["Cl", "Cl", "Cl", "Cl", "Cl", "Cl", "Rb", "Rb", "Ge", "Fe"], "frac_coords": [[0.241, 0.759, 0.759], [0.759, 0.759, 0.241], [0.241, 0.241, 0.759], [0.759, 0.241, 0.241], [0.759, 0.241, 0.759], [0.241, 0.759, 0.241], [0.250, 0.250, 0.250], [0.750, 0.750, 0.750], [0.500, 0.500, 0.500], [0.000, 0.000, 0.000]]}



> Number 1 is which compound?

Fe2Cl



Please write out number 4 again, unchanged.
{"formula": "Rb2GaFeCl6", "functional": "PBE-GGA", "state": "optimized geometry", "space_group": "No. 225", "final_energy_ha_per_atom": -0.136, "cell": [[0.000, 5.055, 5.055], [5.055, 0.000, 5.055], [5.055, 5.055, 0.000]], "species": ["Cl", "Cl", "Cl", "Cl", "Cl", "Cl", "Fe", "Ga", "Rb", "Rb"], "frac_coords": [[0.259, 0.741, 0.741], [0.259, 0.259, 0.741], [0.741, 0.259, 0.259], [0.741, 0.259, 0.741], [0.259, 0.741, 0.259], [0.741, 0.741, 0.259], [0.500, 0.500, 0.500], [0.000, 0.000, 0.000], [0.250, 0.250, 0.250], [0.750, 0.750, 0.750]]}